# Ba3CoCl2F6 (GGA+U, optimized geometry)
# E_tot: -5.045 eV per atom
data_Ba3CoCl2F6
_chemical_formula_sum 'Ba6 Co2 Cl4 F12'
_cell_length_a 13.7053
_cell_length_b 7.5672
_cell_length_c 5.4186
_cell_angle_alpha 90.00
_cell_angle_beta 95.15
_cell_angle_gamma 90.00
_space_group_name_H-M_alt 'C 1 2/m 1'
_space_group_IT_number 12
loop_
_space_group_symop_operation_xyz
'x,y,z'
'-x,-y,-z'
'-x,y,-z'
'x,-y,z'
'x+1/2,y+1/2,z'
'-x+1/2,-y+1/2,-z'
'-x+1/2,y+1/2,-z'
'x+1/2,-y+1/2,z'
loop_
_atom_site_label
_atom_site_fract_x
_atom_site_fract_y
_atom_site_fract_z
_atom_site_occupancy
Ba1 0.0000 0.0000 0.0000 1
Ba2 0.2500 0.2500 0.5000 1
Co1 0.0000 0.5000 0.5000 1
Cl1 0.2142 0.0000 0.9269 1
F1 0.0639 0.2590 0.3105 1
F2 0.1369 0.5000 0.6476 1